No. 1
{
  "formula": "CrSbS2",
  "functional": "PBE",
  "state": "relaxed",
  "volume_a3_per_atom": 27.40,
  "formation_energy_uncorrected_ev_per_atom": -0.11,
  "magnetic_moment_mub_per_atom": 0.000,
  "cell": [[-4.5016, 4.5016, 2.7039], [4.5016, -4.5016, 2.7039], [4.5016, 4.5016, -2.7039]],
  "species": ["Cr", "Cr", "Sb", "Sb", "S", "S", "S", "S"],
  "fractional_positions": [[0.2500, 0.7500, 0.5000], [0.7500, 0.2500, 0.5000], [0.2500, 0.2500, 0.0000], [0.7500, 0.7500, 0.0000], [0.1321, 0.6321, 0.7643], [0.3679, 0.1321, 0.5000], [0.6321, 0.8679, 0.5000], [0.8679, 0.3679, 0.2357]]
}



No. 2
{
  "formula": "Zr2SiHg",
  "functional": "PBE",
  "state": "relaxed",
  "volume_a3_per_atom": 20.91,
  "formation_energy_uncorrected_ev_per_atom": -0.17,
  "magnetic_moment_mub_per_atom": 0.000,
  "cell": [[3.7957, 0.0000, 0.0000], [0.0000, 3.7957, 0.0000], [0.0000, 0.0000, 5.8061]],
  "species": ["Zr", "Zr", "Si", "Hg"],
  "fractional_positions": [[0.0000, 0.0000, 0.0000], [0.5000, 0.5000, 0.2924], [0.5000, 0.5000, 0.8173], [0.0000, 0.0000, 0.5191]]
}



No. 3
{
  "formula": "Pr2DySc",
  "functional": "PBE",
  "state": "relaxed",
  "volume_a3_per_atom": 31.79,
  "e_form_ev_per_atom": 0.044,
  "polymorph_energy_mev_per_atom": 3.3,
  "magnetic_moment_mub_per_atom": 0.000,
  "cell": [[6.0522, -3.6190, 0.0000], [6.0522, 3.6190, 0.0000], [-1.7252, 0.0000, 5.8065]],
  "species": ["Pr", "Pr", "Pr", "Pr", "Dy", "Dy", "Sc", "Sc"],
  "fractional_positions": [[0.1219, 0.6284, 0.7501], [0.3716, 0.8781, 0.2499], [0.6284, 0.1219, 0.7501], [0.8781, 0.3716, 0.2499], [0.3740, 0.3740, 0.2455], [0.6260, 0.6260, 0.7545], [0.1238, 0.1238, 0.7453], [0.8762, 0.8762, 0.2547]]
}



No. 4
{
  "formula": "Li5Al2Cu",
  "functional": "PBE",
  "state": "relaxed",
  "volume_a3_per_atom": 15.60,
  "e_form_ev_per_atom": -0.116,
  "polymorph_energy_mev_per_atom": 5.0,
  "magnetic_moment_mub_per_atom": 0.000,
  "cell": [[5.4672, 0.0000, 0.0000], [0.0000, 10.7413, 0.0000], [0.0000, 0.0000, 4.2499]],
  "species": ["Li", "Li", "Li", "Li", "Li", "Li", "Li", "Li", "Li", "Li", "Al", "Al", "Al", "Al", "Cu", "Cu"],
  "fractional_positions": [[0.0000, 0.0000, 0.0000], [0.1036, 0.2565, 0.0000], [0.1717, 0.8596, 0.5000], [0.3283, 0.3596, 0.5000], [0.3964, 0.7565, 0.0000], [0.5000, 0.5000, 0.0000], [0.6036, 0.2435, 0.0000], [0.6717, 0.6404, 0.5000], [0.8283, 0.1404, 0.5000], [0.8964, 0.7435, 0.0000], [0.1659, 0.5975, 0.5000], [0.3340, 0.0975, 0.5000], [0.6660, 0.9025, 0.5000], [0.8340, 0.4025, 0.5000], [0.0000, 0.5000, 0.0000], [0.5000, 0.0000, 0.0000]]
}



No. 5
{
  "formula": "FeP2SCl",
  "functional": "PBE",
  "state": "relaxed",
  "volume_a3_per_atom": 19.50,
  "polymorph_energy_mev_per_atom": 638.8,
  "formation_energy_uncorrected_ev_per_atom": 1.14,
  "magnetic_moment_mub_per_atom": 0.773,
  "cell": [[4.5455, 0.0000, 0.0000], [0.0000, 4.5455, 0.0000], [0.0000, 0.0000, 4.7200]],
  "species": ["Fe", "P", "P", "S", "Cl"],
  "fractional_positions": [[0.0000, 0.0000, 0.0000], [0.0000, 0.5000, 0.5000], [0.5000, 0.0000, 0.5000], [0.5000, 0.5000, 0.5000], [0.5000, 0.5000, 0.0000]]
}



No. 6
{
  "formula": "NaAcTb2Te4",
  "functional": "PBE",
  "state": "relaxed",
  "volume_a3_per_atom": 32.66,
  "formation_energy_uncorrected_ev_per_atom": -1.36,
  "magnetic_moment_mub_per_atom": 0.000,
  "cell": [[7.7543, 0.0000, 0.0000], [0.0000, 4.4578, 0.0000], [-2.5504, 0.0000, 7.5593]],
  "species": ["Na", "Ac", "Tb", "Tb", "Te", "Te", "Te", "Te"],
  "fractional_positions": [[0.0000, 0.0000, 0.0000], [0.5000, 0.5000, 0.0000], [0.0000, 0.5000, 0.5000], [0.5000, 0.0000, 0.5000], [0.2365, 0.0000, 0.7319], [0.2503, 0.5000, 0.2658], [0.7497, 0.5000, 0.7342], [0.7635, 0.0000, 0.2681]]
}



Please write out number 5 again, unchanged.
{
  "formula": "FeP2SCl",
  "functional": "PBE",
  "state": "relaxed",
  "volume_a3_per_atom": 19.50,
  "polymorph_energy_mev_per_atom": 638.8,
  "formation_energy_uncorrected_ev_per_atom": 1.14,
  "magnetic_moment_mub_per_atom": 0.773,
  "cell": [[4.5455, 0.0000, 0.0000], [0.0000, 4.5455, 0.0000], [0.0000, 0.0000, 4.7200]],
  "species": ["Fe", "P", "P", "S", "Cl"],
  "fractional_positions": [[0.0000, 0.0000, 0.0000], [0.0000, 0.5000, 0.5000], [0.5000, 0.0000, 0.5000], [0.5000, 0.5000, 0.5000], [0.5000, 0.5000, 0.0000]]
}



Copy entry 5 word for word.
{
  "formula": "FeP2SCl",
  "functional": "PBE",
  "state": "relaxed",
  "volume_a3_per_atom": 19.50,
  "polymorph_energy_mev_per_atom": 638.8,
  "formation_energy_uncorrected_ev_per_atom": 1.14,
  "magnetic_moment_mub_per_atom": 0.773,
  "cell": [[4.5455, 0.0000, 0.0000], [0.0000, 4.5455, 0.0000], [0.0000, 0.0000, 4.7200]],
  "species": ["Fe", "P", "P", "S", "Cl"],
  "fractional_positions": [[0.0000, 0.0000, 0.0000], [0.0000, 0.5000, 0.5000], [0.5000, 0.0000, 0.5000], [0.5000, 0.5000, 0.5000], [0.5000, 0.5000, 0.0000]]
}